1.
Dy12Ho7Er | Alexandria | PBE-GGA | optimized geometry; electronic total energy = -85.27 eV/cell; size of the total moment = 0.0 μB/f.u.; DOS(E_F) = 26.47 states/eV/f.u.; SG = R-3, No. 148; relative energy among the computed polymorphs = 0.60 eV/f.u.; energy relative to the elements = 0.328 eV/atom; calculated density = 8.3 g/cm³
1.0
-6.178 0.134 2.418
5.932 1.434 9.005
-0.419 9.916 4.453
Ho Dy Er
7 12 1
Direct
0.212 0.837 0.860
0.376 0.304 0.837
0.072 0.860 0.304
0.788 0.163 0.140
0.928 0.140 0.696
0.624 0.696 0.163
0.500 0.000 0.000
0.794 0.064 0.459
0.206 0.936 0.541
0.283 0.212 0.211
0.929 0.423 0.788
0.747 0.541 0.523
0.071 0.577 0.212
0.494 0.211 0.577
0.717 0.788 0.789
0.730 0.477 0.064
0.506 0.789 0.423
0.253 0.459 0.477
0.270 0.523 0.936
0.000 0.000 0.000

---

2.
DyHo3Er5 | Alexandria | PBE-GGA | optimized geometry; electronic total energy = -78.02 eV/cell; size of the total moment = 0.0 μB/f.u.; DOS(E_F) = 15.61 states/eV/f.u.; SG = C2/c, No. 15; relative energy among the computed polymorphs = 0.00 eV/f.u.; energy relative to the elements = 0.237 eV/atom; calculated density = 8.7 g/cm³
1.0
-4.870 -0.764 -7.031
-1.219 -6.067 6.748
-2.406 10.598 0.515
Er Ho Dy
10 6 2
Direct
0.717 0.193 0.111
0.524 0.807 0.389
0.901 0.359 0.663
0.240 0.000 0.750
0.760 0.000 0.250
0.099 0.641 0.337
0.283 0.807 0.889
0.458 0.359 0.163
0.476 0.193 0.611
0.542 0.641 0.837
0.250 0.439 0.471
0.000 0.000 0.500
0.750 0.561 0.529
0.000 0.000 0.000
0.189 0.439 0.971
0.811 0.561 0.029
0.322 0.000 0.250
0.678 0.000 0.750

---

3.
DyHo6Er3 | Alexandria | PBE-GGA | optimized geometry; electronic total energy = -89.01 eV/cell; size of the total moment = 0.0 μB/f.u.; DOS(E_F) = 15.22 states/eV/f.u.; SG = Cmc2_1, No. 36; relative energy among the computed polymorphs = 0.00 eV/f.u.; energy relative to the elements = 0.125 eV/atom; calculated density = 8.8 g/cm³
1.0
-2.920 -3.379 -4.444
5.236 -9.422 3.722
-9.968 4.640 3.023
Ho Er Dy
12 6 2
Direct
0.319 0.985 0.015
0.819 0.015 0.985
0.828 0.895 0.457
0.328 0.105 0.543
0.787 0.301 0.699
0.569 0.621 0.742
0.069 0.742 0.621
0.287 0.699 0.301
0.569 0.258 0.379
0.828 0.543 0.105
0.069 0.379 0.258
0.328 0.457 0.895
0.489 0.958 0.704
0.594 0.581 0.419
0.989 0.042 0.296
0.094 0.419 0.581
0.989 0.704 0.958
0.489 0.296 0.042
0.515 0.839 0.161
0.015 0.161 0.839

---

4.
Dy4Ho7Er2 | Alexandria | PBE-GGA | optimized geometry; electronic total energy = -57.37 eV/cell; size of the total moment = 0.0 μB/f.u.; DOS(E_F) = 17.02 states/eV/f.u.; SG = P-31m, No. 162; energy relative to the elements = 0.170 eV/atom; calculated density = 8.6 g/cm³
1.0
-4.112 -1.616 4.081
-0.765 -1.464 -5.783
6.413 -11.266 2.003
Ho Er Dy
7 2 4
Direct
0.356 0.356 0.785
0.644 0.644 0.215
0.000 0.356 0.215
0.000 0.644 0.785
0.000 0.000 0.000
0.644 0.000 0.785
0.356 0.000 0.215
0.667 0.333 0.000
0.333 0.667 0.000
0.000 0.000 0.393
0.333 0.667 0.500
0.000 0.000 0.607
0.667 0.333 0.500

---

5.
Dy3Ho2Er6 | Alexandria | PBE-GGA | optimized geometry; electronic total energy = -47.16 eV/cell; size of the total moment = 0.0 μB/f.u.; DOS(E_F) = 17.22 states/eV/f.u.; SG = I4/mmm, No. 139; relative energy among the computed polymorphs = 2.93 eV/f.u.; energy relative to the elements = 0.289 eV/atom; calculated density = 8.4 g/cm³
1.0
-0.809 -3.631 2.823
3.846 -2.106 -1.607
7.353 10.065 11.192
Er Dy Ho
6 3 2
Direct
0.621 0.121 0.243
0.696 0.696 0.391
0.879 0.379 0.757
0.304 0.304 0.609
0.121 0.621 0.243
0.379 0.879 0.757
0.000 0.000 0.000
0.799 0.799 0.598
0.201 0.201 0.402
0.546 0.546 0.092
0.454 0.454 0.908

---

6.
Dy2Ho7Er | Alexandria | PBE-GGA | optimized geometry; electronic total energy = -45.60 eV/cell; size of the total moment = 0.0 μB/f.u.; DOS(E_F) = 13.99 states/eV/f.u.; SG = P-1, No. 2; relative energy among the computed polymorphs = 0.00 eV/f.u.; energy relative to the elements = 0.021 eV/atom; calculated density = 8.9 g/cm³
1.0
-4.356 2.756 -3.252
4.197 1.474 -8.178
-3.915 -4.619 -0.591
Er Ho Dy
1 7 2
Direct
0.000 0.000 0.000
0.500 0.500 0.000
0.000 0.400 0.200
0.000 0.600 0.800
0.500 0.900 0.200
0.000 0.800 0.400
0.000 0.200 0.600
0.500 0.100 0.800
0.500 0.700 0.600
0.500 0.300 0.400

---

7.
DyHoEr2 | Alexandria | PBE-GGA | optimized geometry; electronic total energy = -18.22 eV/cell; size of the total moment = 0.0 μB/f.u.; DOS(E_F) = 5.07 states/eV/f.u.; SG = P4/mmm, No. 123; relative energy among the computed polymorphs = 0.08 eV/f.u.; energy relative to the elements = 0.022 eV/atom; calculated density = 9.0 g/cm³
1.0
-2.228 -2.366 1.328
1.546 0.305 3.137
-6.308 7.287 2.400
Er Ho Dy
2 1 1
Direct
0.000 0.000 0.249
0.000 0.000 0.751
0.500 0.500 0.000
0.500 0.500 0.500

---

8.
DyHo2Er5In | Alexandria | PBE-GGA | optimized geometry; electronic total energy = -78.64 eV/cell; size of the total moment = 0.0 μB/f.u.; DOS(E_F) = 12.37 states/eV/f.u.; SG = Cmcm, No. 63; energy relative to the elements = -0.001 eV/atom; calculated density = 8.7 g/cm³
1.0
5.296 0.000 0.000
-2.648 10.024 0.000
0.000 0.000 10.373
Er Ho Dy In
10 4 2 2
Direct
0.618 0.235 0.508
0.500 0.000 0.258
0.989 0.979 0.508
0.711 0.423 0.809
0.289 0.578 0.707
0.500 0.000 0.758
0.711 0.422 0.207
0.289 0.577 0.309
0.011 0.021 0.008
0.382 0.765 0.008
0.884 0.768 0.219
0.884 0.768 0.797
0.116 0.232 0.719
0.116 0.232 0.297
0.792 0.584 0.508
0.208 0.416 0.008
0.404 0.808 0.508
0.596 0.192 0.008